# GGA-PBE Sr2ScTl, relaxed
# Space group   Pmmm
# Total energy   -2.995 eV/atom
# M_tot   0.00 μB/f.u.
data_Sr2ScTl
_chemical_formula_sum 'Sr2 Sc1 Tl1'
_space_group_name_H-M_alt 'P 1'
_space_group_IT_number 1
_cell_length_a 4.217
_cell_length_b 4.332
_cell_length_c 7.619
_cell_angle_alpha 90.00
_cell_angle_beta 90.00
_cell_angle_gamma 90.00
loop_
_space_group_symop_operation_xyz
'x,y,z'
loop_
_atom_site_label
_atom_site_fract_x
_atom_site_fract_y
_atom_site_fract_z
_atom_site_occupancy
Sr1 0.000 0.000 0.242 1
Sr2 0.000 0.000 0.758 1
Sc1 0.500 0.500 0.500 1
Tl1 0.500 0.500 0.000 1